# Cs4Sm3AlO8 PBE optimized geometry
# Fermi-level density of states = 0.00 states/eV per atom
# Formation energy (no corrections) = -2.324 eV per atom
data_Cs4Sm3AlO8
_chemical_formula_sum 'Cs8 Sm6 Al2 O16'
_cell_length_a 12.6259
_cell_length_b 6.9711
_cell_length_c 7.9679
_cell_angle_alpha 90.00
_cell_angle_beta 119.69
_cell_angle_gamma 90.00
_space_group_name_H-M_alt 'C 1 2/m 1'
_space_group_IT_number 12
loop_
_space_group_symop_operation_xyz
'x,y,z'
'-x,-y,-z'
'-x,y,-z'
'x,-y,z'
'x+1/2,y+1/2,z'
'-x+1/2,-y+1/2,-z'
'-x+1/2,y+1/2,-z'
'x+1/2,-y+1/2,z'
loop_
_atom_site_label
_atom_site_type_symbol
_atom_site_fract_x
_atom_site_fract_y
_atom_site_fract_z
Cs1 Cs 0.0000 0.0000 0.0000
Cs2 Cs 0.0000 0.5000 0.0000
Cs3 Cs 0.2500 0.2500 0.0000
Sm1 Sm 0.0000 0.0000 0.5000
Sm2 Sm 0.2500 0.2500 0.5000
Al1 Al 0.0000 0.5000 0.5000
O1 O 0.0273 0.2940 0.3577
O2 O 0.2148 0.0000 0.6676
O3 O 0.2460 0.0000 0.3026


# CsSrAlO3 PBE optimized geometry
# Formation energy (no corrections) = -2.230 eV per atom
data_CsSrAlO3
_chemical_formula_sum 'Cs4 Sr4 Al4 O12'
_cell_length_a 13.6559
_cell_length_b 3.8551
_cell_length_c 8.4417
_cell_angle_alpha 90.00
_cell_angle_beta 106.00
_cell_angle_gamma 90.00
_space_group_name_H-M_alt 'C 1 2/m 1'
_space_group_IT_number 12
loop_
_space_group_symop_operation_xyz
'x,y,z'
'-x,-y,-z'
'-x,y,-z'
'x,-y,z'
'x+1/2,y+1/2,z'
'-x+1/2,-y+1/2,-z'
'-x+1/2,y+1/2,-z'
'x+1/2,-y+1/2,z'
loop_
_atom_site_label
_atom_site_type_symbol
_atom_site_fract_x
_atom_site_fract_y
_atom_site_fract_z
Cs1 Cs 0.1479 0.0000 0.0709
Sr1 Sr 0.1578 0.0000 0.5814
Al1 Al 0.0080 0.5000 0.3055
O1 O 0.0081 0.0000 0.3256
O2 O 0.1290 0.5000 0.7690
O3 O 0.1462 0.5000 0.3618


# Cs4Tb3AlO8 PBE optimized geometry
# Fermi-level density of states = 0.00 states/eV per atom
# Formation energy (no corrections) = -2.380 eV per atom
data_Cs4Tb3AlO8
_chemical_formula_sum 'Cs12 Tb9 Al3 O24'
_cell_length_a 6.9552
_cell_length_b 6.9552
_cell_length_c 20.5072
_cell_angle_alpha 90.00
_cell_angle_beta 90.00
_cell_angle_gamma 120.00
_space_group_name_H-M_alt 'R -3 m'
_space_group_IT_number 166
_space_group_name_Hall '-R 3 2"'
loop_
_atom_site_label
_atom_site_type_symbol
_atom_site_fract_x
_atom_site_fract_y
_atom_site_fract_z
Cs1 Cs 0.0000 0.0000 0.0000
Cs2 Cs 0.0000 0.5000 0.0000
Tb1 Tb 0.0000 0.5000 0.5000
Al1 Al 0.0000 0.0000 0.5000
O1 O 0.0000 0.0000 0.2215
O2 O 0.0286 0.5143 0.2193


# CsAlTe2O8 PBE optimized geometry
# Fermi-level density of states = 0.00 states/eV per atom
# Formation energy (no corrections) = -1.419 eV per atom
data_CsAlTe2O8
_chemical_formula_sum 'Cs1 Al1 Te2 O8'
_cell_length_a 5.2249
_cell_length_b 5.2249
_cell_length_c 9.4857
_cell_angle_alpha 90.00
_cell_angle_beta 90.00
_cell_angle_gamma 120.00
_space_group_name_H-M_alt 'P -3'
_space_group_IT_number 147
loop_
_space_group_symop_operation_xyz
'x,y,z'
'-x,-y,-z'
'-y,x-y,z'
'y,-x+y,-z'
'-x+y,-x,z'
'x-y,x,-z'
loop_
_atom_site_label
_atom_site_type_symbol
_atom_site_fract_x
_atom_site_fract_y
_atom_site_fract_z
Cs1 Cs 0.0000 0.0000 0.0000
Al1 Al 0.0000 0.0000 0.5000
Te1 Te 0.3333 0.6667 0.6779
O1 O 0.0228 0.3056 0.6195
O2 O 0.3333 0.6667 0.8698


Which value of formation energy (no corrections) does entry 4 give?
-1.419 eV per atom